Material: TbNdSm2P4
Method: DFT, PBE-GGA
State: optimized geometry

a b c (Å): 7.106 4.106 7.106
angles (deg): 90.00 109.46 90.00
Space group P2/m (No. 10)
One atom of each set of equivalent atoms:
Tb (0.000, 0.000, 0.000) (multiplicity 1)
Nd (0.500, 0.500, 0.000) (multiplicity 1)
Sm (0.000, 0.500, 0.500) (multiplicity 1)
Sm (0.500, 0.000, 0.500) (multiplicity 1)
P (0.246, 0.000, 0.749) (multiplicity 2)
P (0.246, 0.500, 0.248) (multiplicity 2)

DFT formation energy	-1.569	eV/atom
energy	-6.6285	eV per atom
D(E_F)	0.0815	states/eV per atom
total magnetization	0.00	μB/f.u.